No. 1
This record from the Alexandria database describes a relaxed RbZrTl2 crystal. The functional is PBE.

abc: 5.559 5.559 5.559
angles: 60.00 60.00 60.00
Atoms (fractional coordinates):
Rb 0.000 0.000 0.000
Zr 0.500 0.500 0.500
Tl 0.250 0.250 0.250
Tl 0.750 0.750 0.750

## Properties
For the total energy, the calculation gives -3.083 eV/atom. The density of states at the Fermi level comes out at 4.5 states/eV per cell. The space group is No. 225. The excess energy over the best structure of this formula in the dataset is 0.393 eV per atom.

No. 2
This record from the Alexandria database describes a relaxed Rb4Tm crystal. The functional is PBE.

abc: 7.787 7.787 7.787
angles: 90.00 90.00 90.00
Atoms (fractional coordinates):
Rb 0.000 0.000 0.000
Rb 0.000 0.500 0.500
Rb 0.500 0.000 0.500
Rb 0.500 0.500 0.000
Tm 0.500 0.500 0.500

## Properties
For the total energy, the calculation gives -0.971 eV/atom. The density of states at the Fermi level comes out at 12.8 states/eV per cell. The space group is No. 221.

No. 3
This record from the Alexandria database describes a relaxed Rb4U crystal. The functional is PBE.

abc: 7.677 7.677 7.677
angles: 90.00 90.00 90.00
Atoms (fractional coordinates):
Rb 0.000 0.000 0.000
Rb 0.000 0.500 0.500
Rb 0.500 0.000 0.500
Rb 0.500 0.500 0.000
U 0.500 0.500 0.500

## Properties
For the total energy, the calculation gives -1.828 eV/atom. The density of states at the Fermi level comes out at 27.0 states/eV per cell. The space group is No. 221.

No. 4
This record from the Alexandria database describes a relaxed Rb4V crystal. The functional is PBE.

abc: 7.219 7.219 7.219
angles: 90.00 90.00 90.00
Atoms (fractional coordinates):
Rb 0.000 0.000 0.000
Rb 0.000 0.500 0.500
Rb 0.500 0.000 0.500
Rb 0.500 0.500 0.000
V 0.500 0.500 0.500

## Properties
For the total energy, the calculation gives -1.854 eV/atom. The density of states at the Fermi level comes out at 6.6 states/eV per cell. The space group is No. 221.

No. 5
This record from the Alexandria database describes a relaxed RbV4 crystal. The functional is PBE.

abc: 4.487 4.487 4.487
angles: 90.00 90.00 90.00
Atoms (fractional coordinates):
Rb 0.000 0.000 0.000
V 0.000 0.000 0.500
V 0.000 0.500 0.000
V 0.500 0.000 0.000
V 0.500 0.500 0.500

## Properties
For the total energy, the calculation gives -4.809 eV/atom. The density of states at the Fermi level comes out at 5.7 states/eV per cell. The space group is No. 221.

No. 6
This record from the Alexandria database describes a relaxed RbVW2 crystal. The functional is PBE.

abc: 4.671 4.671 4.671
angles: 60.00 60.00 60.00
Atoms (fractional coordinates):
Rb 0.000 0.000 0.000
V 0.500 0.500 0.500
W 0.250 0.250 0.250
W 0.750 0.750 0.750

## Properties
For the total energy, the calculation gives -6.911 eV/atom. The density of states at the Fermi level comes out at 5.5 states/eV per cell. The space group is No. 225. The excess energy over the best structure of this formula in the dataset is 0.000 eV per atom.

No. 7
This record from the Alexandria database describes a relaxed RbVW2 crystal. The functional is PBE.

abc: 9.413 9.413 9.413
angles: 149.44 149.44 43.77
Atoms (fractional coordinates):
Rb 0.000 0.000 0.000
Rb 0.750 0.250 0.500
V 0.250 0.750 0.500
V 0.500 0.500 0.000
W 0.310 0.125 0.685
W 0.375 0.690 0.815
W 0.440 0.625 0.315
W 0.875 0.560 0.185

## Properties
For the total energy, the calculation gives -6.857 eV/atom. The density of states at the Fermi level comes out at 9.7 states/eV per cell. The space group is No. 122. The excess energy over the best structure of this formula in the dataset is 0.054 eV per atom.

No. 8
This record from the Alexandria database describes a relaxed Rb3VW crystal. The functional is PBE.

abc: 6.640 6.640 6.640
angles: 90.00 90.00 90.00
Atoms (fractional coordinates):
Rb 0.000 0.000 0.500
Rb 0.000 0.500 0.000
Rb 0.500 0.000 0.000
V 0.000 0.000 0.000
W 0.500 0.500 0.500

## Properties
For the total energy, the calculation gives -2.870 eV/atom. The density of states at the Fermi level comes out at 3.3 states/eV per cell. The space group is No. 221. The excess energy over the best structure of this formula in the dataset is 0.000 eV per atom.